# 1
Material: Ce7Sn3Au
Method: DFT, GGA-PBE
State: relaxed

extended XYZ file:
```
11
Lattice="-2.939 4.581 6.012 2.939 -4.581 6.012 2.939 4.581 -6.012" Properties=species:S:1:pos:R:3 pbc="T T T"
Ce 0.000 0.000 0.000
Ce 2.939 -1.364 3.084
Ce 2.939 3.070 0.000
Ce 2.939 1.364 3.084
Ce 0.000 3.217 2.928
Ce 0.000 1.511 6.012
Ce 0.000 5.945 2.928
Sn 0.000 0.000 3.166
Sn 0.000 4.581 0.000
Sn 0.000 0.000 8.859
Au 2.939 0.000 0.000
```

Calculated values
formation energy from the elements = -0.378 eV per atom

# 2
Material: BaLiPdAu2
Method: DFT, GGA-PBE
State: relaxed

extended XYZ file:
```
5
Lattice="5.296 0.000 0.000 0.000 5.296 0.000 0.000 0.000 4.565" Properties=species:S:1:pos:R:3 pbc="T T T"
Ba 0.000 0.000 0.000
Li 2.648 2.648 0.000
Pd 2.648 2.648 2.283
Au 0.000 2.648 2.283
Au 2.648 0.000 2.283
```

Calculated values
formation energy from the elements = -0.423 eV per atom

# 3
Material: KNaFe2Sb
Method: DFT, GGA-PBE
State: relaxed

extended XYZ file:
```
5
Lattice="4.959 0.000 0.000 0.000 4.959 0.000 0.000 0.000 4.738" Properties=species:S:1:pos:R:3 pbc="T T T"
K 0.000 0.000 0.000
Na 0.000 0.000 2.369
Fe 0.000 2.480 0.000
Fe 2.480 0.000 0.000
Sb 2.480 2.480 2.369
```

Calculated values
E_form (uncorrected) = 1.662 eV per atom

| no. | M_tot (μB per formula unit) |
| --- | --- |
| 1 | 6.027 |
| 2 | 0.000 |
| 3 | 5.569 |